Entry 1:
The following is a DFT calculation (PBE) of a relaxed LaDy3Y6Er2 crystal.

a = 6.179 Å, b = 6.179 Å, c = 11.835 Å
α = 94.98°, β = 94.98°, γ = 119.97°
Fractional coordinates of all 12 atoms:
La  0.000  0.000  0.000
Dy  0.167  0.833  0.500
Dy  0.500  0.500  0.500
Dy  0.833  0.167  0.500
Y  0.085  0.419  0.252
Y  0.250  0.250  0.748
Y  0.419  0.085  0.252
Y  0.581  0.915  0.748
Y  0.750  0.750  0.252
Y  0.915  0.581  0.748
Er  0.333  0.667  0.000
Er  0.667  0.333  0.000

The value obtained for the formation energy is 0.0236 eV per atom. Its raw total energy is -66.36 eV for the cell shown.

---

Entry 2:
The following is a DFT calculation (PBE) of a relaxed La2DyYEr crystal.

a = 5.816 Å, b = 5.816 Å, c = 11.361 Å
α = 90.00°, β = 90.00°, γ = 108.51°
Fractional coordinates of all 10 atoms:
La  0.243  0.243  0.000
La  0.243  0.243  0.500
La  0.757  0.757  0.000
La  0.757  0.757  0.500
Dy  0.341  0.659  0.750
Dy  0.659  0.341  0.250
Y  0.315  0.685  0.250
Y  0.685  0.315  0.750
Er  0.015  0.985  0.750
Er  0.985  0.015  0.250

The value obtained for the formation energy is 0.3309 eV per atom. Its raw total energy is -47.66 eV for the cell shown.

---

Entry 3:
The following is a DFT calculation (PBE) of a relaxed LaDyY3Er crystal.

a = 6.550 Å, b = 6.550 Å, c = 11.576 Å
α = 90.00°, β = 90.00°, γ = 127.38°
Fractional coordinates of all 12 atoms:
La  0.025  0.975  0.750
La  0.975  0.025  0.250
Dy  0.500  0.500  0.000
Dy  0.500  0.500  0.500
Y  0.174  0.826  0.020
Y  0.174  0.826  0.480
Y  0.348  0.652  0.250
Y  0.652  0.348  0.750
Y  0.826  0.174  0.520
Y  0.826  0.174  0.980
Er  0.330  0.670  0.750
Er  0.670  0.330  0.250

The value obtained for the formation energy is 0.1216 eV per atom. Its raw total energy is -65.51 eV for the cell shown.

---

Entry 4:
The following is a DFT calculation (PBE) of a relaxed LaDy6Y2Er3 crystal.

a = 6.155 Å, b = 6.155 Å, c = 11.795 Å
α = 94.97°, β = 94.97°, γ = 119.97°
Fractional coordinates of all 12 atoms:
La  0.000  0.000  0.000
Dy  0.085  0.419  0.254
Dy  0.249  0.249  0.746
Dy  0.419  0.085  0.254
Dy  0.581  0.915  0.746
Dy  0.751  0.751  0.254
Dy  0.915  0.581  0.746
Y  0.333  0.667  0.000
Y  0.667  0.333  0.000
Er  0.167  0.833  0.500
Er  0.500  0.500  0.500
Er  0.833  0.167  0.500

The value obtained for the formation energy is 0.0235 eV per atom. Its raw total energy is -58.88 eV for the cell shown.

---

Entry 5:
The following is a DFT calculation (PBE) of a relaxed LaDy2Y2Er crystal.

a = 6.525 Å, b = 17.965 Å, c = 3.411 Å
α = 90.00°, β = 90.00°, γ = 90.00°
Fractional coordinates of all 12 atoms:
La  0.000  0.000  0.000
La  0.500  0.500  0.500
Dy  0.211  0.354  0.500
Dy  0.289  0.854  0.000
Dy  0.711  0.146  0.000
Dy  0.789  0.646  0.500
Y  0.214  0.189  0.000
Y  0.286  0.689  0.500
Y  0.714  0.311  0.500
Y  0.786  0.811  0.000
Er  0.000  0.500  0.000
Er  0.500  0.000  0.500

The value obtained for the formation energy is 0.2661 eV per atom. Its raw total energy is -60.05 eV for the cell shown.

---

Entry 6:
The following is a DFT calculation (PBE) of a relaxed La4Dy2YEr2 crystal.

a = 8.128 Å, b = 8.128 Å, c = 8.075 Å
α = 107.41°, β = 107.41°, γ = 36.98°
Fractional coordinates of all 9 atoms:
La  0.054  0.054  0.331
La  0.276  0.276  0.668
La  0.724  0.724  0.332
La  0.946  0.946  0.669
Dy  0.388  0.388  0.329
Dy  0.612  0.612  0.671
Y  0.500  0.500  0.000
Er  0.168  0.168  0.000
Er  0.832  0.832  0.000

The value obtained for the formation energy is 0.0326 eV per atom. Its raw total energy is -44.21 eV for the cell shown.

---

Entry 7:
The following is a DFT calculation (PBE) of a relaxed La2DyY2Er2 crystal.

a = 6.161 Å, b = 6.161 Å, c = 11.915 Å
α = 107.94°, β = 107.94°, γ = 33.25°
Fractional coordinates of all 7 atoms:
La  0.172  0.172  0.084
La  0.828  0.828  0.916
Dy  0.500  0.500  0.500
Y  0.047  0.047  0.767
Y  0.953  0.953  0.233
Er  0.271  0.271  0.632
Er  0.729  0.729  0.368

The value obtained for the formation energy is 0.0854 eV per atom. Its raw total energy is -35.91 eV for the cell shown.

---

Entry 8:
The following is a DFT calculation (PBE) of a relaxed La2Dy2Y4Er crystal.

a = 9.578 Å, b = 9.578 Å, c = 9.632 Å
α = 115.21°, β = 115.21°, γ = 21.85°
Fractional coordinates of all 9 atoms:
La  0.165  0.165  0.497
La  0.835  0.835  0.503
Dy  0.353  0.353  0.837
Dy  0.647  0.647  0.163
Y  0.020  0.020  0.836
Y  0.314  0.314  0.164
Y  0.686  0.686  0.836
Y  0.980  0.980  0.164
Er  0.500  0.500  0.500

The value obtained for the formation energy is -0.0006 eV per atom. Its raw total energy is -49.48 eV for the cell shown.

---

Entry 9:
The following is a DFT calculation (PBE) of a relaxed La3Dy6Y2Er crystal.

a = 6.234 Å, b = 6.234 Å, c = 11.897 Å
α = 95.01°, β = 95.01°, γ = 120.02°
Fractional coordinates of all 12 atoms:
La  0.000  0.000  0.000
La  0.333  0.667  0.000
La  0.667  0.333  0.000
Dy  0.086  0.419  0.255
Dy  0.249  0.249  0.745
Dy  0.419  0.086  0.255
Dy  0.581  0.914  0.745
Dy  0.751  0.751  0.255
Dy  0.914  0.581  0.745
Y  0.167  0.833  0.500
Y  0.833  0.167  0.500
Er  0.500  0.500  0.500

The value obtained for the formation energy is 0.0235 eV per atom. Its raw total energy is -59.60 eV for the cell shown.

---

Entry 10:
The following is a DFT calculation (PBE) of a relaxed LaDy2YEr2 crystal.

a = 6.961 Å, b = 9.832 Å, c = 5.622 Å
α = 90.00°, β = 90.00°, γ = 90.00°
Fractional coordinates of all 12 atoms:
La  0.000  0.000  0.000
La  0.500  0.500  0.500
Dy  0.247  0.333  0.000
Dy  0.253  0.833  0.500
Dy  0.747  0.167  0.500
Dy  0.753  0.667  0.000
Y  0.000  0.500  0.500
Y  0.500  0.000  0.000
Er  0.249  0.666  0.000
Er  0.251  0.166  0.500
Er  0.749  0.834  0.500
Er  0.751  0.334  0.000

The value obtained for the formation energy is 0.0668 eV per atom. Its raw total energy is -58.64 eV for the cell shown.

---

Entry 11:
The following is a DFT calculation (PBE) of a relaxed La2Dy2YEr2 crystal.

a = 6.703 Å, b = 6.703 Å, c = 10.022 Å
α = 95.05°, β = 95.05°, γ = 31.63°
Fractional coordinates of all 7 atoms:
La  0.230  0.230  0.359
La  0.770  0.770  0.641
Dy  0.436  0.436  0.849
Dy  0.564  0.564  0.151
Y  0.500  0.500  0.500
Er  0.161  0.161  0.892
Er  0.839  0.839  0.108

The value obtained for the formation energy is 0.1299 eV per atom. Its raw total energy is -33.74 eV for the cell shown.

---

Entry 12:
The following is a DFT calculation (PBE) of a relaxed LaDy2Y6Er crystal.

a = 8.825 Å, b = 8.825 Å, c = 9.564 Å
α = 93.38°, β = 93.38°, γ = 117.20°
Fractional coordinates of all 20 atoms:
La  0.028  0.972  0.750
La  0.972  0.028  0.250
Dy  0.200  0.303  0.551
Dy  0.303  0.200  0.051
Dy  0.697  0.800  0.949
Dy  0.800  0.697  0.449
Y  0.012  0.561  0.682
Y  0.123  0.752  0.058
Y  0.248  0.877  0.442
Y  0.293  0.513  0.885
Y  0.439  0.988  0.818
Y  0.487  0.707  0.615
Y  0.513  0.293  0.385
Y  0.561  0.012  0.182
Y  0.707  0.487  0.115
Y  0.752  0.123  0.558
Y  0.877  0.248  0.942
Y  0.988  0.439  0.318
Er  0.411  0.589  0.250
Er  0.589  0.411  0.750

The value obtained for the formation energy is 0.1190 eV per atom. Its raw total energy is -112.58 eV for the cell shown.